No. 1
{"formula": "DyHoZn2Ge2", "functional": "GGA-PBE", "state": "relaxed", "e_tot_ev_per_fu": -24.9, "e_above_lowest_polymorph_ev_per_atom": 0.000, "rho_kg_m3": 8298, "lattice": [[4.2322, 0.0000, 0.0000], [-2.1161, 3.6652, 0.0000], [0.0000, 0.0000, 15.5710]], "species": ["Ho", "Zn", "Zn", "Ge", "Ho", "Dy", "Ge", "Zn", "Ge", "Ge", "Zn", "Dy"], "frac_coords": [[0.0000, 0.0000, 0.7500], [0.6667, 0.3333, 0.3524], [0.6667, 0.3333, 0.1476], [0.6667, 0.3333, 0.6139], [0.0000, 0.0000, 0.2500], [0.0000, 0.0000, 0.0000], [0.3333, 0.6667, 0.3861], [0.3333, 0.6667, 0.8524], [0.6667, 0.3333, 0.8861], [0.3333, 0.6667, 0.1139], [0.3333, 0.6667, 0.6476], [0.0000, 0.0000, 0.5000]]}

No. 2
{"formula": "ZrBe", "functional": "GGA-PBE", "state": "relaxed", "e_tot_ev_per_fu": -12.3, "rho_kg_m3": 5292, "lattice": [[-2.1119, 4.5239, -1.9520], [-6.4163, 0.7835, 8.7578], [3.0408, 2.2923, 2.0227]], "species": ["Be", "Zr", "Zr", "Be", "Be", "Be", "Zr", "Zr", "Zr", "Be", "Be", "Zr", "Zr", "Be", "Be", "Zr"], "frac_coords": [[0.9453, 0.3623, 0.5000], [0.0835, 0.2500, 0.0000], [0.7480, 0.5818, 0.5000], [0.9453, 0.1377, 0.5000], [0.2626, 0.0092, 0.5000], [0.2626, 0.4908, 0.5000], [0.5854, 0.0818, 0.0000], [0.7480, 0.9182, 0.5000], [0.4822, 0.2500, 0.5000], [0.0708, 0.5092, 0.0000], [0.3881, 0.6377, 0.0000], [0.2498, 0.7500, 0.5000], [0.8512, 0.7500, 0.0000], [0.3881, 0.8623, 0.0000], [0.0708, 0.9908, 0.0000], [0.5854, 0.4182, 0.0000]]}

What did the first record say?
{"formula": "DyHoZn2Ge2", "functional": "GGA-PBE", "state": "relaxed", "e_tot_ev_per_fu": -24.9, "e_above_lowest_polymorph_ev_per_atom": 0.000, "rho_kg_m3": 8298, "lattice": [[4.2322, 0.0000, 0.0000], [-2.1161, 3.6652, 0.0000], [0.0000, 0.0000, 15.5710]], "species": ["Ho", "Zn", "Zn", "Ge", "Ho", "Dy", "Ge", "Zn", "Ge", "Ge", "Zn", "Dy"], "frac_coords": [[0.0000, 0.0000, 0.7500], [0.6667, 0.3333, 0.3524], [0.6667, 0.3333, 0.1476], [0.6667, 0.3333, 0.6139], [0.0000, 0.0000, 0.2500], [0.0000, 0.0000, 0.0000], [0.3333, 0.6667, 0.3861], [0.3333, 0.6667, 0.8524], [0.6667, 0.3333, 0.8861], [0.3333, 0.6667, 0.1139], [0.3333, 0.6667, 0.6476], [0.0000, 0.0000, 0.5000]]}